A plane-wave DFT calculation with PBE was carried out for a geometry-optimized Tm12Al5Zn2 structure.

```
Tm12Al5Zn2
1.0
8.3079 0.0000 0.0000
-4.1539 7.2688 1.3314
0.0000 -0.9912 7.9223
Zn Al Tm
2 5 12
Cartesian
2.5718 0.0000 0.0000
5.7361 0.0000 0.0000
0.0000 -0.4956 3.9611
4.1539 1.2070 7.7095
0.0000 5.0706 1.5442
4.1539 3.3031 2.7566
0.0000 2.9745 6.4970
0.0000 -0.0723 6.7888
-2.5623 3.9803 7.6377
2.5623 3.9803 7.6377
6.0076 1.5049 5.0411
4.1539 6.3498 2.4649
1.8536 4.7727 4.2125
2.3003 1.5049 5.0411
0.0000 6.0192 6.8265
4.1539 0.2583 2.4271
-1.8536 4.7727 4.2125
1.5917 2.2973 1.6160
6.7162 2.2973 1.6160
```

Output
* calculated formation energy: -0.09 eV/atom
* E: -4.03 eV/atom
* total moment: 0.002 μB/f.u.
* space-group type: C2/m, No. 12
* D(E_F): 1.059 states/eV per atom

A plane-wave DFT calculation with PBE was carried out for a geometry-optimized TmAl2Zn10 structure.

```
TmAl2Zn10
1.0
5.3699 -0.0103 -0.0293
2.6731 6.2262 -0.0165
2.6513 -0.0071 6.2095
Zn Al Tm
10 2 1
Cartesian
5.3440 1.3110 4.8463
5.3503 4.8978 1.3175
2.6750 4.0310 2.1874
8.0292 4.8941 4.8339
2.6651 1.3147 1.3299
4.0106 -0.0087 3.0901
8.0193 2.1778 3.9764
1.3257 -0.0035 3.1048
5.3574 2.1859 2.1776
5.3369 4.0229 3.9862
1.3366 3.1131 -0.0082
4.0215 3.1079 -0.0229
0.0000 0.0000 0.0000
```

Output
* calculated formation energy: -0.13 eV/atom
* E: -2.03 eV/atom
* total moment: 0.000 μB/f.u.
* space-group type: P-1, No. 2
* D(E_F): 0.292 states/eV per atom

A plane-wave DFT calculation with PBE was carried out for a geometry-optimized TmAl3Zn structure.

```
TmAl3Zn
1.0
5.2771 0.0000 0.0000
0.0000 5.2771 0.0000
-2.6386 -2.6386 8.6338
Zn Al Tm
2 6 2
Cartesian
0.0000 0.0000 0.0000
0.0000 2.6386 4.3169
0.0000 0.0000 6.1271
2.6386 2.6386 2.5067
-1.3110 2.6386 6.4852
0.0000 1.3276 2.1486
0.0000 3.9495 2.1486
1.3110 2.6386 6.4852
2.6386 0.0000 0.9062
2.6386 0.0000 7.7276
```

Output
* calculated formation energy: 0.16 eV/atom
* E: -3.24 eV/atom
* total moment: 0.000 μB/f.u.
* polymorph energy (0 for the lowest one): 450 meV/atom
* space-group type: I-4m2, No. 119
* D(E_F): 0.617 states/eV per atom

A plane-wave DFT calculation with PBE was carried out for a geometry-optimized TmAl2Zn9 structure.

```
TmAl2Zn9
1.0
6.3809 0.0000 2.9376
3.1904 7.4520 1.4688
0.0741 0.0000 8.2379
Zn Al Tm
18 4 2
Cartesian
6.7020 4.3604 9.8579
2.2313 5.0261 8.5326
4.0679 0.6344 4.5434
2.3871 0.6344 6.6321
0.0000 0.0000 0.0000
6.4179 3.7260 7.0566
4.8170 2.4259 2.9161
4.1049 3.0915 8.6623
1.6380 2.4259 8.2594
3.4745 6.8175 4.2702
4.8541 1.3001 7.0350
1.6009 1.3001 4.1405
2.9804 6.8175 6.9053
5.3847 6.1518 5.8824
2.3501 3.0915 2.5132
4.2237 5.0261 2.6429
7.4512 6.1518 8.2307
6.1338 4.3604 4.2552
6.4364 1.8630 9.1160
7.9946 5.5890 5.7315
6.3994 1.8630 4.9971
4.8412 5.5890 8.3816
3.2275 3.7260 5.5877
3.1904 0.0000 1.4688
```

Output
* calculated formation energy: -0.11 eV/atom
* E: -2.06 eV/atom
* total moment: 0.000 μB/f.u.
* space-group type: I4_1/amd, No. 141
* D(E_F): 0.262 states/eV per atom

A plane-wave DFT calculation with PBE was carried out for a geometry-optimized Tm2Al5Zn12 structure.

```
Tm2Al5Zn12
1.0
-6.0232 -3.1335 0.8976
2.1644 -6.3906 -1.1743
0.9327 -1.8140 6.5378
Zn Tm Al
12 2 5
Cartesian
-0.3345 -5.3965 -0.5419
-2.3393 -6.4476 0.8914
-3.9403 -5.5266 2.6504
1.0143 -5.8115 3.6107
1.3086 -3.2108 4.1840
-1.1902 -2.2167 4.8164
0.0072 -7.0969 1.6515
-3.5243 -4.1276 0.2652
-2.9332 -4.2411 4.6096
-3.9002 -2.7308 2.6190
-0.5867 -4.8904 5.3697
1.7885 -4.9938 1.1795
-0.9685 -3.7530 2.0725
-1.9575 -7.5851 4.1886
1.0822 -3.1953 -0.5871
-0.2896 -1.1222 0.6197
0.4664 -0.9070 3.2689
-3.0116 -1.5668 0.4488
-2.6364 -10.2159 5.6414
```

Output
* calculated formation energy: -0.16 eV/atom
* E: -2.42 eV/atom
* total moment: 0.000 μB/f.u.
* space-group type: R-3m, No. 166
* D(E_F): 0.240 states/eV per atom

A plane-wave DFT calculation with PBE was carried out for a geometry-optimized TmAlZn17 structure.

```
TmAlZn17
1.0
6.7387 0.0999 0.9068
0.8061 6.6910 0.9068
0.1110 0.0999 6.7985
Zn Tm Al
17 1 1
Cartesian
2.6788 2.4112 6.3298
0.3973 2.1226 4.8244
1.6963 4.4845 5.2170
4.2307 6.7252 8.0227
4.5389 0.1725 2.7030
0.7311 0.6580 0.8224
4.6377 1.2166 5.2170
2.6085 4.4958 0.9599
4.9823 4.4845 2.2959
0.6476 4.4958 2.7030
7.4717 6.7252 5.1415
6.8924 6.2038 7.7534
4.7446 2.1226 0.9599
7.1318 3.5020 8.0227
3.0242 5.6865 3.4020
5.9724 2.4112 3.4020
2.1526 0.1725 4.8244
5.0621 4.5563 5.6944
3.1291 2.8165 3.5200
```

Output
* calculated formation energy: -0.07 eV/atom
* E: -1.64 eV/atom
* total moment: 0.000 μB/f.u.
* space-group type: R3m, No. 160
* D(E_F): 0.268 states/eV per atom

A plane-wave DFT calculation with PBE was carried out for a geometry-optimized Tm3AlZn8 structure.

```
Tm3AlZn8
1.0
5.3906 0.0000 0.0000
2.6953 4.6684 0.0000
2.6953 1.5561 8.6409
Zn Tm Al
8 3 1
Cartesian
5.3906 4.6654 1.6148
9.4431 5.4520 5.9199
8.0859 3.1013 5.9199
6.7287 5.4520 5.9199
2.6953 1.5561 3.7791
8.0859 4.6684 8.0804
4.0456 2.3357 1.6148
6.7357 2.3357 1.6148
5.3906 3.1123 7.5081
5.3906 3.1123 4.2412
8.0859 4.6684 0.1586
8.0859 4.6684 3.3139
```

Output
* calculated formation energy: -0.25 eV/atom
* E: -2.53 eV/atom
* total moment: 0.000 μB/f.u.
* space-group type: R3m, No. 160
* D(E_F): 0.415 states/eV per atom

A plane-wave DFT calculation with PBE was carried out for a geometry-optimized TmAl3Zn structure.

```
TmAl3Zn
1.0
3.8821 0.0043 1.3375
-0.4582 3.8546 1.3409
-0.0021 -0.0070 6.2760
Tm Al Zn
1 3 1
Cartesian
1.4709 0.7950 6.4520
2.0766 3.6700 4.7114
2.8162 2.3154 2.5748
0.3687 1.7356 3.3725
-0.3295 3.1360 5.3909
```

Output
* calculated formation energy: -0.29 eV/atom
* E: -3.69 eV/atom
* total moment: 0.000 μB/f.u.
* polymorph energy (0 for the lowest one): 0 meV/atom
* space-group type: Cm, No. 8
* D(E_F): 0.423 states/eV per atom

A plane-wave DFT calculation with PBE was carried out for a geometry-optimized TmAl3Zn3 structure.

```
TmAl3Zn3
1.0
-8.1550 -2.1032 0.2608
-2.8319 -6.4676 -4.5984
-2.3914 -7.1356 3.7893
Zn Al Tm
6 6 2
Cartesian
-7.8486 -8.2697 1.0258
-7.1298 -6.1248 -0.1133
-5.5297 -7.4367 -1.5740
-6.2485 -9.5817 -0.4349
-7.9810 -8.0689 -1.4956
-5.3972 -7.6375 0.9474
-9.3474 -8.8081 2.7060
-5.6789 -11.8159 -0.6428
-7.6993 -3.8905 0.0946
-3.7273 -7.3587 2.5263
-9.6510 -8.3478 -3.0745
-4.0309 -6.8983 -3.2543
-10.0337 -11.7798 -0.4112
-3.3446 -3.9266 -0.1371
```

Output
* calculated formation energy: 0.73 eV/atom
* E: -2.06 eV/atom
* total moment: 0.000 μB/f.u.
* polymorph energy (0 for the lowest one): 758 meV/atom
* space-group type: Fm-3m, No. 225
* D(E_F): 1.124 states/eV per atom

A plane-wave DFT calculation with PBE was carried out for a geometry-optimized Tm5Al4Zn structure.

```
Tm5Al4Zn
1.0
3.5274 0.0000 0.0000
0.0000 3.5274 0.0000
0.0000 0.0000 17.8825
Tm Al Zn
5 4 1
Cartesian
1.7637 1.7637 5.3519
1.7637 1.7637 12.5306
1.7637 1.7637 8.9413
1.7637 1.7637 16.1524
1.7637 1.7637 1.7301
0.0000 0.0000 7.1516
0.0000 0.0000 10.7309
0.0000 0.0000 3.5364
0.0000 0.0000 14.3461
0.0000 0.0000 0.0000
```

Output
* calculated formation energy: -0.38 eV/atom
* E: -4.25 eV/atom
* total moment: 0.000 μB/f.u.
* space-group type: P4/mmm, No. 123
* D(E_F): 0.527 states/eV per atom

A plane-wave DFT calculation with PBE was carried out for a geometry-optimized TmAlZn structure.

```
TmAlZn
1.0
4.5089 0.0000 0.0000
2.2545 3.9048 0.0000
2.2545 1.3016 3.6815
Zn Al Tm
1 1 1
Cartesian
2.2545 1.3016 0.9204
0.0000 0.0000 0.0000
4.5089 2.6032 1.8408
```

Output
* calculated formation energy: -0.31 eV/atom
* E: -3.47 eV/atom
* total moment: 0.000 μB/f.u.
* space-group type: F-43m, No. 216
* D(E_F): 0.341 states/eV per atom

A plane-wave DFT calculation with PBE was carried out for a geometry-optimized TmAl3Zn3 structure.

```
TmAl3Zn3
1.0
-5.3473 4.2131 0.7927
-4.2122 -4.9278 -2.2239
-0.7972 -2.2223 6.4341
Al Tm Zn
6 2 6
Cartesian
-3.4429 -1.4106 -0.9138
-6.1166 0.6959 -0.5175
-2.8729 1.5510 2.0048
-3.5577 -4.8070 1.5491
-3.2715 0.4398 5.2219
-1.4516 -2.3431 2.6611
-5.1783 -1.4685 2.5014
0.0000 0.0000 0.0000
-4.4090 2.0486 3.8115
-2.3054 -3.0195 0.4966
-1.7354 -0.0579 3.4152
-5.8328 -1.5893 -1.2716
-2.7040 -4.1306 3.7136
-3.7267 0.8746 -0.1597
```

Output
* calculated formation energy: 0.42 eV/atom
* E: -2.37 eV/atom
* total moment: 0.000 μB/f.u.
* polymorph energy (0 for the lowest one): 448 meV/atom
* space-group type: Pm-3n, No. 223
* D(E_F): 0.782 states/eV per atom